[1]
# ZrTl2Cr (PBE-GGA, relaxed)
# - crystal system = tetragonal
# - energy above the most stable polymorph in this dataset (meV/atom) = 0
# - N(E_F) (states/eV per cell) = 2.9
# - total magnetic moment (μB per formula unit) = 3.9
data_ZrTl2Cr
_chemical_formula_sum 'Zr1 Tl2 Cr1'
_space_group_name_H-M_alt 'P 4/m m m'
_space_group_IT_number 123
_space_group_name_Hall '-P 4 2'
_cell_length_a 4.510
_cell_length_b 4.510
_cell_length_c 4.293
_cell_angle_alpha 90.00
_cell_angle_beta 90.00
_cell_angle_gamma 90.00
loop_
_atom_site_label
_atom_site_type_symbol
_atom_site_fract_x
_atom_site_fract_y
_atom_site_fract_z
Zr1 Zr 0.000 0.000 0.000
Tl1 Tl 0.000 0.500 0.500
Cr1 Cr 0.500 0.500 0.000

[2]
# Zr2TlCr (PBE-GGA, relaxed)
# - crystal system = monoclinic
# - energy above the most stable polymorph in this dataset (meV/atom) = 107
# - N(E_F) (states/eV per cell) = 3.0
# - total magnetic moment (μB per formula unit) = 1.8
data_Zr2TlCr
_chemical_formula_sum 'Zr2 Tl1 Cr1'
_space_group_name_H-M_alt 'P 1 m 1'
_space_group_IT_number 6
_space_group_name_Hall 'P -2y'
_cell_length_a 3.250
_cell_length_b 4.762
_cell_length_c 5.485
_cell_angle_alpha 90.00
_cell_angle_beta 97.49
_cell_angle_gamma 90.00
loop_
_atom_site_label
_atom_site_type_symbol
_atom_site_fract_x
_atom_site_fract_y
_atom_site_fract_z
Zr1 Zr 0.000 0.000 0.000
Zr2 Zr 0.192 0.500 0.662
Tl1 Tl 0.623 0.000 0.469
Cr1 Cr 0.589 0.500 0.139

[3]
# ZrTl2Cr (PBE-GGA, relaxed)
# - crystal system = tetragonal
# - energy above the most stable polymorph in this dataset (meV/atom) = 55
# - N(E_F) (states/eV per cell) = 9.4
# - total magnetic moment (μB per formula unit) = 3.1
data_ZrTl2Cr
_chemical_formula_sum 'Zr2 Tl4 Cr2'
_space_group_name_H-M_alt 'I -4 m 2'
_space_group_IT_number 119
_space_group_name_Hall 'I -4 -2'
_cell_length_a 4.281
_cell_length_b 4.281
_cell_length_c 9.617
_cell_angle_alpha 90.00
_cell_angle_beta 90.00
_cell_angle_gamma 90.00
loop_
_atom_site_label
_atom_site_type_symbol
_atom_site_fract_x
_atom_site_fract_y
_atom_site_fract_z
Zr1 Zr 0.000 0.000 0.000
Tl1 Tl 0.000 0.000 0.500
Tl2 Tl 0.000 0.500 0.250
Cr1 Cr 0.000 0.500 0.750

[4]
# ZrTlCr2 (PBE-GGA, relaxed)
# - crystal system = tetragonal
# - energy above the most stable polymorph in this dataset (meV/atom) = 232
# - N(E_F) (states/eV per cell) = 7.4
# - total magnetic moment (μB per formula unit) = 5.3
data_ZrTlCr2
_chemical_formula_sum 'Zr2 Tl2 Cr4'
_space_group_name_H-M_alt 'I -4 m 2'
_space_group_IT_number 119
_space_group_name_Hall 'I -4 -2'
_cell_length_a 4.012
_cell_length_b 4.012
_cell_length_c 9.129
_cell_angle_alpha 90.00
_cell_angle_beta 90.00
_cell_angle_gamma 90.00
loop_
_atom_site_label
_atom_site_type_symbol
_atom_site_fract_x
_atom_site_fract_y
_atom_site_fract_z
Zr1 Zr 0.000 0.000 0.000
Tl1 Tl 0.000 0.500 0.250
Cr1 Cr 0.000 0.000 0.500
Cr2 Cr 0.000 0.500 0.750

[5]
# ZrTlCr2 (PBE-GGA, relaxed)
# - crystal system = cubic
# - energy above the most stable polymorph in this dataset (meV/atom) = 222
# - N(E_F) (states/eV per cell) = 11.4
# - total magnetic moment (μB per formula unit) = 4.9
data_ZrTlCr2
_chemical_formula_sum 'Zr4 Tl4 Cr8'
_space_group_name_H-M_alt 'F m -3 m'
_space_group_IT_number 225
_space_group_name_Hall '-F 4 2 3'
_cell_length_a 6.570
_cell_length_b 6.570
_cell_length_c 6.570
_cell_angle_alpha 90.00
_cell_angle_beta 90.00
_cell_angle_gamma 90.00
loop_
_atom_site_label
_atom_site_type_symbol
_atom_site_fract_x
_atom_site_fract_y
_atom_site_fract_z
Zr1 Zr 0.000 0.000 0.000
Tl1 Tl 0.000 0.000 0.500
Cr1 Cr 0.250 0.250 0.250

[6]
# ZrTlCr2 (PBE-GGA, relaxed)
# - crystal system = cubic
# - energy above the most stable polymorph in this dataset (meV/atom) = 229
# - N(E_F) (states/eV per cell) = 11.2
# - total magnetic moment (μB per formula unit) = 0.9
data_ZrTlCr2
_chemical_formula_sum 'Zr4 Tl4 Cr8'
_space_group_name_H-M_alt 'F -4 3 m'
_space_group_IT_number 216
_space_group_name_Hall 'F -4 2 3'
_cell_length_a 6.725
_cell_length_b 6.725
_cell_length_c 6.725
_cell_angle_alpha 90.00
_cell_angle_beta 90.00
_cell_angle_gamma 90.00
loop_
_atom_site_label
_atom_site_type_symbol
_atom_site_fract_x
_atom_site_fract_y
_atom_site_fract_z
Zr1 Zr 0.000 0.000 0.000
Tl1 Tl 0.250 0.250 0.750
Cr1 Cr 0.000 0.000 0.500
Cr2 Cr 0.250 0.250 0.250

Number 1: DFT formation energy 289 meV/atom. Number 2: DFT formation energy 157 meV/atom. Number 3: DFT formation energy 344 meV/atom. Number 4: DFT formation energy 432 meV/atom. Number 5: DFT formation energy 421 meV/atom. Number 6: DFT formation energy 428 meV/atom.